Record 1
# Y2AlPtS (SCAN, PBEsol geometry)
data_Y2AlPtS
_chemical_formula_sum 'Y2 Al1 Pt1 S1'
_cell_length_a 5.0183
_cell_length_b 5.0183
_cell_length_c 4.3784
_cell_angle_alpha 90.00
_cell_angle_beta 90.00
_cell_angle_gamma 90.00
_space_group_name_H-M_alt 'P 1'
_space_group_IT_number 1
loop_
_space_group_symop_operation_xyz
'x,y,z'
loop_
_atom_site_label
_atom_site_type_symbol
_atom_site_fract_x
_atom_site_fract_y
_atom_site_fract_z
_atom_site_occupancy
Y1 Y 0.0000 0.5000 0.0000 1
Y2 Y 0.5000 0.0000 0.0000 1
Al1 Al 0.0000 0.0000 0.5000 1
Pt1 Pt 0.5000 0.5000 0.5000 1
S1 S 0.0000 0.0000 0.0000 1
# **Crystal system**: tetragonal
# **Energy relative to the elements, uncorrected**: -66.08 kJ/mol of atoms
# **Magnetization**: 0.00 Bohr magnetons per cell
# **Space group**: P4/mmm (123)

***

Record 2
# Ba5Cd3 (SCAN, PBEsol geometry)
data_Ba5Cd3
_chemical_formula_sum 'Ba10 Cd6'
_cell_length_a 10.3553
_cell_length_b 10.3553
_cell_length_c 7.2245
_cell_angle_alpha 90.00
_cell_angle_beta 90.00
_cell_angle_gamma 120.00
_space_group_name_H-M_alt 'P 1'
_space_group_IT_number 1
loop_
_space_group_symop_operation_xyz
'x,y,z'
loop_
_atom_site_label
_atom_site_type_symbol
_atom_site_fract_x
_atom_site_fract_y
_atom_site_fract_z
_atom_site_occupancy
Ba1 Ba 0.0000 0.2613 0.2500 1
Ba2 Ba 0.0000 0.7387 0.7500 1
Ba3 Ba 0.2613 0.0000 0.2500 1
Ba4 Ba 0.2613 0.2613 0.7500 1
Ba5 Ba 0.3333 0.6667 0.0000 1
Ba6 Ba 0.3333 0.6667 0.5000 1
Ba7 Ba 0.6667 0.3333 0.0000 1
Ba8 Ba 0.6667 0.3333 0.5000 1
Ba9 Ba 0.7387 0.0000 0.7500 1
Ba10 Ba 0.7387 0.7387 0.2500 1
Cd1 Cd 0.0000 0.3981 0.7500 1
Cd2 Cd 0.0000 0.6019 0.2500 1
Cd3 Cd 0.3981 0.0000 0.7500 1
Cd4 Cd 0.3981 0.3981 0.2500 1
Cd5 Cd 0.6019 0.0000 0.2500 1
Cd6 Cd 0.6019 0.6019 0.7500 1
# **Crystal system**: hexagonal
# **Energy above the most stable polymorph in this dataset**: 0.0000 eV per atom
# **Magnetization**: 0.20 Bohr magnetons per cell
# **Space group**: P6_3/mcm (193)